DFT (PBE) results for an optimized crystal structure of MgCuSi.

Volume (Å³ per atom): 15.61
DOS(E_F) (states/eV per cell): 1.4
Formation energy from raw total energies (eV/atom): -0.12
Raw total energy (eV per atom): -3.83

Unit cell a=4.0531 b=5.1504 c=5.2807 alpha=87.44 beta=67.90 gamma=67.37
Space group P-1 (No. 2)
Symmetry-distinct sites (fractional):
1 Mg 0.2422 0.3160 0.2030 [2 per cell]
2 Cu 0.4397 0.7350 0.3875 [2 per cell]
3 Si 0.0548 0.1008 0.7879 [2 per cell]



DFT (PBE) results for an optimized crystal structure of SiOsCl2.

Volume (Å³ per atom): 22.53
DOS(E_F) (states/eV per cell): 0.7
Formation energy from raw total energies (eV/atom): -0.20
Raw total energy (eV per atom): -5.28
Polymorph energy (0 for the lowest one) (meV/atom): 0

Unit cell a=2.9372 b=3.6060 c=8.5104 alpha=90.00 beta=90.17 gamma=90.00
Space group Pm (No. 6)
Symmetry-distinct sites (fractional):
1 Si 0.0000 0.0000 0.0000 [1 per cell]
2 Os 0.4991 0.5000 0.9017 [1 per cell]
3 Cl 0.0026 0.0000 0.2440 [1 per cell]
4 Cl 0.4972 0.5000 0.6398 [1 per cell]



DFT (PBE) results for an optimized crystal structure of Ca3Sn2Pd9.

Volume (Å³ per atom): 19.29
DOS(E_F) (states/eV per cell): 8.8
Raw total energy (eV per atom): -4.90

Unit cell a=4.0399 b=11.0999 c=12.0473 alpha=90.00 beta=90.00 gamma=90.00
Space group Immm (No. 71)
Symmetry-distinct sites (fractional):
1 Ca 0.0000 0.0000 0.0000 [2 per cell]
2 Ca 0.0000 0.0000 0.2847 [4 per cell]
3 Sn 0.0000 0.1782 0.5000 [4 per cell]
4 Pd 0.0000 0.2941 0.1589 [8 per cell]
5 Pd 0.0000 0.3771 0.3711 [8 per cell]
6 Pd 0.0000 0.5000 0.0000 [2 per cell]



DFT (PBE) results for an optimized crystal structure of K2LaRu.

Volume (Å³ per atom): 28.48
DOS(E_F) (states/eV per cell): 12.2
Raw total energy (eV per atom): -3.30
Polymorph energy (0 for the lowest one) (meV/atom): 579

Unit cell a=7.6952 b=7.6952 c=7.6952 alpha=90.00 beta=90.00 gamma=90.00
Space group F-43m (No. 216)
Symmetry-distinct sites (fractional):
1 K 0.0000 0.0000 0.0000 [4 per cell]
2 K 0.2500 0.2500 0.2500 [4 per cell]
3 La 0.2500 0.2500 0.7500 [4 per cell]
4 Ru 0.0000 0.0000 0.5000 [4 per cell]



DFT (PBE) results for an optimized crystal structure of CrCd2Ru.

Volume (Å³ per atom): 16.40
DOS(E_F) (states/eV per cell): 32.1
Raw total energy (eV per atom): -4.45
Polymorph energy (0 for the lowest one) (meV/atom): 570

Unit cell a=6.4019 b=6.4019 c=6.4019 alpha=90.00 beta=90.00 gamma=90.00
Space group Fm-3m (No. 225)
Symmetry-distinct sites (fractional):
1 Cr 0.0000 0.0000 0.0000 [4 per cell]
2 Cd 0.2500 0.2500 0.2500 [8 per cell]
3 Ru 0.0000 0.0000 0.5000 [4 per cell]



DFT (PBE) results for an optimized crystal structure of SiHgSb2.

Volume (Å³ per atom): 24.48
DOS(E_F) (states/eV per cell): 1.5
Formation energy from raw total energies (eV/atom): 0.42
Raw total energy (eV per atom): -3.07

Unit cell a=3.1266 b=3.1266 c=10.0155 alpha=90.00 beta=90.00 gamma=90.00
Space group P4mm (No. 99)
Symmetry-distinct sites (fractional):
1 Si 0.0000 0.0000 0.0000 [1 per cell]
2 Hg 0.5000 0.5000 0.2180 [1 per cell]
3 Sb 0.0000 0.0000 0.4869 [1 per cell]
4 Sb 0.5000 0.5000 0.7841 [1 per cell]



DFT (PBE) results for an optimized crystal structure of Cs3SrP2S8.

Volume (Å³ per atom): 32.90
DOS(E_F) (states/eV per cell): 12.3
Formation energy from raw total energies (eV/atom): -0.89
Raw total energy (eV per atom): -4.32

Unit cell a=7.3120 b=7.3120 c=9.9484 alpha=90.00 beta=90.00 gamma=120.00
Space group P-3m1 (No. 164)
Symmetry-distinct sites (fractional):
1 Cs 0.0000 0.0000 0.0000 [1 per cell]
2 Cs 0.3333 0.6667 0.6756 [2 per cell]
3 Sr 0.0000 0.0000 0.5000 [1 per cell]
4 P 0.3333 0.6667 0.2471 [2 per cell]
5 S 0.1796 0.3592 0.3125 [6 per cell]
6 S 0.3333 0.6667 0.0446 [2 per cell]



DFT (PBE) results for an optimized crystal structure of Ca8PN4.

Volume (Å³ per atom): 22.85
DOS(E_F) (states/eV per cell): 7.4
Formation energy from raw total energies (eV/atom): -0.79
Raw total energy (eV per atom): -5.00

Unit cell a=10.5912 b=10.5912 c=10.5912 alpha=90.00 beta=90.00 gamma=90.00
Space group F-43m (No. 216)
Symmetry-distinct sites (fractional):
1 Ca 0.1052 0.1052 0.1052 [16 per cell]
2 Ca 0.1425 0.1425 0.6425 [16 per cell]
3 P 0.2500 0.2500 0.2500 [4 per cell]
4 N 0.1272 0.1272 0.8728 [16 per cell]